No. 1
A crystal of Ca4SbRh relaxed with PBEsol. Source: Alexandria via LeMat-Bulk, functional meta-GGA SCAN.

Cell: 6.024 6.024 6.024 Å, 60.00 60.00 60.00°
Site moments in Bohr magnetons follow the coordinates.
Fractional positions:
Sb (0.000, 0.000, 0.000)  0.00
Rh (0.750, 0.750, 0.750)  0.20
Ca (0.873, 0.376, 0.376)  -0.01
Ca (0.376, 0.376, 0.873)  -0.01
Ca (0.376, 0.873, 0.376)  -0.01
Ca (0.376, 0.376, 0.376)  -0.01

Computed properties:
DOS(E_F)   0.0585 states/eV per atom
Uncorrected energy   -17.91 eV per atom
Raw formation energy   0.372 eV per atom

---

No. 2
A crystal of CaSbRh2 relaxed with PBEsol. Source: Alexandria via LeMat-Bulk, functional meta-GGA SCAN.

Cell: 4.447 4.447 5.373 Å, 65.56 65.56 60.00°
Fractional positions:
Rh (0.797, 0.797, 0.610)
Rh (0.203, 0.203, 0.390)
Sb (0.500, 0.500, 0.500)
Ca (0.000, 0.000, 0.000)

Computed properties:
DOS(E_F)   0.5020 states/eV per atom
Uncorrected energy   -29.22 eV per atom
Raw formation energy   -0.606 eV per atom

---

No. 3
A crystal of CaSb2TeRh relaxed with PBEsol. Source: Alexandria via LeMat-Bulk, functional meta-GGA SCAN.

Cell: 4.994 4.994 5.670 Å, 90.00 90.00 90.00°
Fractional positions:
Sb (0.500, 0.000, 0.000)
Ca (0.500, 0.500, 0.500)
Sb (0.000, 0.500, 0.000)
Te (0.000, 0.000, 0.500)
Rh (0.000, 0.000, 0.000)

Computed properties:
DOS(E_F)   0.9501 states/eV per atom
Uncorrected energy   -31.31 eV per atom
Raw formation energy   -0.271 eV per atom

---

No. 4
A crystal of CaScRh2 relaxed with PBEsol. Source: Alexandria via LeMat-Bulk, functional meta-GGA SCAN.

Cell: 3.233 4.616 4.616 Å, 90.00 90.00 90.00°
Fractional positions:
Ca (0.000, 0.000, 0.000)
Sc (0.000, 0.500, 0.500)
Rh (0.500, 0.000, 0.500)
Rh (0.500, 0.500, 0.000)

Computed properties:
DOS(E_F)   0.4812 states/eV per atom
Uncorrected energy   -23.54 eV per atom
Calculated formation energy   -0.6839 eV per atom

---

no.,mass density (Mg/m³),calculated volume (Å³/f.u.)
1,4.136,154.6
2,7.553,80.8
3,6.036,141.4
4,7.010,68.9